The following is a DFT calculation (GGA-PBE) of an optimized crystal structure of Tb7PmEr12.

Properties
V	34.9	Å³ per atom
E_form	14.19	eV/f.u.

CIF file:
```
data_Tb7PmEr12
_chemical_formula_sum 'Tb14 Pm2 Er24'
_space_group_name_H-M_alt 'I m -3'
_space_group_IT_number 204
_space_group_name_Hall '-I 2 2 3'
_cell_length_a 11.1761
_cell_length_b 11.1761
_cell_length_c 11.1761
_cell_angle_alpha 90.00
_cell_angle_beta 90.00
_cell_angle_gamma 90.00
loop_
_atom_site_label
_atom_site_type_symbol
_atom_site_fract_x
_atom_site_fract_y
_atom_site_fract_z
Tb1 Tb 0.0000 0.0000 0.5000
Tb2 Tb 0.2500 0.2500 0.2500
Pm1 Pm 0.0000 0.0000 0.0000
Er1 Er 0.0000 0.2538 0.2527
```